Computed, not measured: a relaxed structure of NdDy2Y6Th3 at the GGA-PBE level of DFT.

- Total magnetic moment: 0.000 μB per atom
- Formation energy: 0.023 eV/atom

Geometry as POSCAR:
```
NdDy2Y6Th3
1.0
-6.0897 0.8428 0.8956
2.0898 -1.9281 -5.5238
0.3208 -10.6584 5.0094
Y Th Nd Dy
6 3 1 2
Direct
0.0849 0.4186 0.2548 Y
0.4186 0.0849 0.2548 Y
0.2489 0.2489 0.7453 Y
0.5814 0.9151 0.7452 Y
0.7511 0.7511 0.2547 Y
0.9151 0.5814 0.7452 Y
0.1664 0.8336 0.5000 Th
0.5000 0.5000 0.5000 Th
0.8336 0.1664 0.5000 Th
0.0000 0.0000 0.0000 Nd
0.3332 0.6668 0.0000 Dy
0.6668 0.3332 0.0000 Dy
```

Computed, not measured: a relaxed structure of KNpSb2O8 at the GGA-PBE level of DFT.

- Total magnetic moment: 0.165 μB per atom
- Formation energy without anion corrections: -1775.4 meV per atom

Geometry as POSCAR:
```
KNpSb2O8
1.0
5.1822 0.1223 -0.0040
0.1815 5.1782 -0.0063
0.0047 0.0076 6.4987
O K Sb Np
8 1 2 1
Direct
0.3169 0.3162 0.0000 O
0.6661 0.6666 0.5000 O
0.6831 0.6838 0.0000 O
0.7825 0.2181 0.7922 O
0.7825 0.2182 0.2079 O
0.3339 0.3334 0.5000 O
0.2175 0.7819 0.2078 O
0.2175 0.7818 0.7921 O
0.0000 0.0000 0.5000 K
0.5000 0.5000 0.7495 Sb
0.5000 0.5000 0.2505 Sb
0.0000 0.0000 0.0000 Np
```